Density functional theory data (PBE) for a relaxed structure of Pr2Cu2AgPt5.

As for the crystal system: tetragonal. The final energy comes out at -57.27 eV/f.u. As for the formation energy: -6.460 eV per formula unit. For the density, the calculation gives 13.67 Mg/m³. Its density of states at the Fermi level is 0.342 states/eV per atom. The calculation puts the volume at 362.57 Å³ per cell.

The space group is P4/mbm (No. 127) and the conventional cell measures 9.4837, 9.4837 and 4.0312 Å, with angles of 90.00, 90.00 and 90.00 degrees. Symmetry generates all atoms from Pr at (0.1802, 0.3198, 0.0000), Cu at (0.1174, 0.6174, 0.0000), Ag at (0.0000, 0.0000, 0.0000), Pt at (0.0000, 0.5000, 0.5000) and Pt at (0.0650, 0.7907, 0.5000).

=====

Density functional theory data (PBE) for a relaxed structure of Er2V2GaCo5.

As for the crystal system: tetragonal. The final energy comes out at -66.34 eV/f.u. As for the formation energy: -0.424 eV per formula unit. For the density, the calculation gives 9.10 Mg/m³. Its density of states at the Fermi level is 0.850 states/eV per atom. The calculation puts the volume at 292.09 Å³ per cell.

The space group is P4/mbm (No. 127) and the conventional cell measures 9.8765, 9.8765 and 2.9944 Å, with angles of 90.00, 90.00 and 90.00 degrees. Symmetry generates all atoms from Er at (0.1729, 0.3271, 0.0000), V at (0.1337, 0.6337, 0.0000), Ga at (0.0000, 0.0000, 0.0000), Co at (0.0000, 0.5000, 0.5000) and Co at (0.0535, 0.8004, 0.5000).

=====

Density functional theory data (PBE) for a relaxed structure of Tc2PtCl.

As for the crystal system: cubic. The final energy comes out at -26.08 eV/f.u. For the density, the calculation gives 11.78 Mg/m³. Its density of states at the Fermi level is 1.532 states/eV per atom. The calculation puts the formation energy from raw total energies at 0.635 eV/atom. The calculation puts the volume at 240.56 Å³ per cell.

The space group is Fm-3m (No. 225) and the conventional cell measures 6.2193, 6.2193 and 6.2193 Å, with angles of 90.00, 90.00 and 90.00 degrees. Symmetry generates all atoms from Tc at (0.2500, 0.2500, 0.2500), Pt at (0.0000, 0.0000, 0.0000) and Cl at (0.0000, 0.0000, 0.5000).

=====

Density functional theory data (PBE) for a relaxed structure of PrHoMg2Au4.

As for the crystal system: trigonal. The final energy comes out at -31.67 eV/f.u. As for the formation energy: -6.010 eV per formula unit. For the density, the calculation gives 10.91 Mg/m³. Its density of states at the Fermi level is 0.586 states/eV per atom. The calculation puts the volume at 521.47 Å³ per cell.

The space group is R-3m (No. 166, hexagonal axes) and the conventional cell measures 4.9419, 4.9419 and 24.6556 Å, with angles of 90.00, 90.00 and 120.00 degrees. Symmetry generates all atoms from Pr at (0.0000, 0.0000, 0.0000), Ho at (0.0000, 0.0000, 0.5000), Mg at (0.0000, 0.0000, 0.2481), Au at (0.0000, 0.0000, 0.1286) and Au at (0.0000, 0.0000, 0.3816).

=====

> Which formula does entry 3 have?

Tc2PtCl